Arrangement A

Here is a geometry-optimized PmMgTlIn structure from the Alexandria database. Energies are from PBE.

The structure in POSCAR format:
```
PmMgTlIn
1.0
4.5929 0.0000 0.0000
0.0000 4.7599 0.0000
0.0000 0.0000 4.7282
Tl In Mg Pm
1 1 1 1
Direct
0.0000 0.0000 0.0000
0.0000 0.5000 0.5000
0.5000 0.0000 0.5000
0.5000 0.5000 0.0000
```



Arrangement B

Here is a geometry-optimized PmMgTlIn structure from the Alexandria database. Energies are from PBE.

The structure in POSCAR format:
```
PmMgTlIn
1.0
5.2991 0.0000 0.0000
2.6495 4.5891 0.0000
2.6495 1.5297 4.3267
Pm Mg In Tl
1 1 1 1
Direct
0.5000 0.5000 0.5000
0.0000 0.0000 0.0000
0.2500 0.2500 0.2500
0.7500 0.7500 0.7500
```



Quick look at relative energies in kJ/mol of atoms: arrangement A 0.0; arrangement B 8.3.



Arrangement A

Here is a geometry-optimized PrMg6In6 structure from the Alexandria database. Energies are from PBE.

The structure in POSCAR format:
```
PrMg6In6
1.0
-0.4770 -2.3370 5.6869
5.5542 1.2777 -2.3555
-0.5206 9.0055 3.6572
Pr Mg In
1 6 6
Direct
0.0000 0.0000 0.0000
0.5000 0.0000 0.7561
0.5000 0.5000 0.2439
0.5000 0.0000 0.2439
0.5000 0.5000 0.7561
0.0000 0.5000 0.2439
0.0000 0.5000 0.7561
0.0000 0.0000 0.6529
0.6667 0.3333 0.0000
0.0000 0.0000 0.3471
0.6666 0.3334 0.5000
0.3333 0.6667 0.0000
0.3334 0.6666 0.5000
```



Arrangement B

Here is a geometry-optimized PrMg6In6 structure from the Alexandria database. Energies are from PBE.

The structure in POSCAR format:
```
PrMg6In6
1.0
-4.8389 2.9041 2.2834
-1.0452 -1.3783 7.6537
1.8397 6.9156 3.2189
Mg In Pr
6 6 1
Direct
0.0000 0.5000 0.0000
0.5000 0.2430 0.7570
0.5000 0.7570 0.2430
0.0000 0.0000 0.5000
0.5000 0.0000 0.5000
0.5000 0.5000 0.0000
0.0000 0.3482 0.6518
0.6684 0.8316 0.8316
0.3396 0.6604 0.6604
0.6604 0.3396 0.3396
0.3316 0.1684 0.1684
0.0000 0.6518 0.3482
0.0000 0.0000 0.0000
```



Quick look at relative energies in kJ/mol of atoms: arrangement A 1.0; arrangement B 0.0.



Arrangement A

Here is a geometry-optimized Pr3Mg2In structure from the Alexandria database. Energies are from PBE.

The structure in POSCAR format:
```
Pr3Mg2In
1.0
3.9029 0.0000 0.0000
0.0000 3.9029 0.0000
0.0000 0.0000 11.7925
In Mg Pr
1 2 3
Direct
0.5000 0.5000 0.5000
0.5000 0.5000 0.8361
0.5000 0.5000 0.1639
0.0000 0.0000 0.6658
0.0000 0.0000 0.3342
0.0000 0.0000 0.0000
```



Arrangement B

Here is a geometry-optimized Pr3Mg2In structure from the Alexandria database. Energies are from PBE.

The structure in POSCAR format:
```
Pr3Mg2In
1.0
3.9287 0.0000 0.0000
0.0000 5.2192 -1.7278
0.0000 -0.0038 8.7352
In Pr Mg
1 3 2
Direct
0.0000 0.0000 0.0000
0.5000 0.1654 0.3308
0.5000 0.5000 0.0000
0.5000 0.8346 0.6692
0.0000 0.3298 0.6597
0.0000 0.6702 0.3403
```



Quick look at relative energies in kJ/mol of atoms: arrangement A 1.5; arrangement B 0.0.



Arrangement A

Here is a geometry-optimized PrMg2In3 structure from the Alexandria database. Energies are from PBE.

The structure in POSCAR format:
```
PrMg2In3
1.0
4.6073 0.0000 0.0000
0.0000 4.4111 -1.4915
0.0000 0.0493 7.4146
In Mg Pr
3 2 1
Direct
0.5000 0.8279 0.6558
0.5000 0.1721 0.3442
0.5000 0.5000 0.0000
0.0000 0.3248 0.6495
0.0000 0.6752 0.3505
0.0000 0.0000 0.0000
```



Arrangement B

Here is a geometry-optimized PrMg2In3 structure from the Alexandria database. Energies are from PBE.

The structure in POSCAR format:
```
PrMg2In3
1.0
-3.6513 -1.3761 3.3612
0.4586 -2.5085 -4.4744
8.4971 -8.6179 5.7024
In Pr Mg
6 2 4
Direct
0.3333 0.6667 0.3658
0.6667 0.3333 0.6342
0.0000 0.0000 0.5000
0.3333 0.6667 0.1342
0.6667 0.3333 0.8658
0.0000 0.0000 0.0000
0.0000 0.0000 0.2500
0.0000 0.0000 0.7500
0.3333 0.6667 0.8923
0.6667 0.3333 0.3923
0.3333 0.6667 0.6077
0.6667 0.3333 0.1077
```



Quick look at relative energies in kJ/mol of atoms: arrangement A 0.0; arrangement B 3.3.



Arrangement A

Here is a geometry-optimized Pr4MgIn2 structure from the Alexandria database. Energies are from PBE.

The structure in POSCAR format:
```
Pr4MgIn2
1.0
-1.4905 5.2283 0.4564
-4.3687 1.3409 2.9801
3.1024 3.0165 8.1847
In Pr Mg
2 4 1
Direct
0.7427 0.7427 0.7718
0.2573 0.2573 0.2282
0.6150 0.6150 0.1551
0.8683 0.8683 0.3952
0.3850 0.3850 0.8449
0.1317 0.1317 0.6048
0.0000 0.0000 0.0000
```



Arrangement B

Here is a geometry-optimized Pr4MgIn2 structure from the Alexandria database. Energies are from PBE.

The structure in POSCAR format:
```
Pr4MgIn2
1.0
7.9182 0.0000 -0.5862
0.0000 6.5188 0.0000
-3.7153 0.0000 8.8539
Pr In Mg
8 4 2
Direct
0.5790 0.4970 0.2213
0.0608 0.7500 0.4408
0.9779 0.7500 0.7919
0.4210 0.9970 0.7787
0.4210 0.5030 0.7787
0.5790 0.0030 0.2213
0.9392 0.2500 0.5592
0.0221 0.2500 0.2081
0.1996 0.2500 0.9547
0.5372 0.7500 0.5130
0.8004 0.7500 0.0453
0.4628 0.2500 0.4870
0.2087 0.7500 0.1684
0.7913 0.2500 0.8316
```



Quick look at relative energies in kJ/mol of atoms: arrangement A 0.0; arrangement B 10.7.



Arrangement A

Here is a geometry-optimized Pr3MgIn structure from the Alexandria database. Energies are from PBE.

The structure in POSCAR format:
```
Pr3MgIn
1.0
-1.9013 -4.7431 -1.3391
4.7374 -3.6376 6.1579
-7.9555 2.6979 1.7395
Pr In Mg
6 2 2
Direct
0.7500 0.1964 0.8036
0.7500 0.6072 0.8035
0.2500 0.8035 0.6072
0.7500 0.1965 0.3928
0.2500 0.3928 0.1965
0.2500 0.8036 0.1964
0.7500 0.6666 0.3334
0.2500 0.3334 0.6666
0.5000 0.0000 0.0000
0.0000 0.0000 0.0000
```



Arrangement B

Here is a geometry-optimized Pr3MgIn structure from the Alexandria database. Energies are from PBE.

The structure in POSCAR format:
```
Pr3MgIn
1.0
5.3411 0.0000 1.2206
0.0000 5.4732 0.0000
0.3510 0.0000 10.7606
Pr In Mg
6 2 2
Direct
0.7632 0.2500 0.1219
0.0749 0.7500 0.4985
0.2641 0.7500 0.1202
0.8851 0.7500 0.8781
0.3843 0.2500 0.8798
0.5734 0.2500 0.5015
0.1683 0.2500 0.3117
0.4800 0.7500 0.6883
0.9786 0.2500 0.6912
0.6698 0.7500 0.3088
```



Quick look at relative energies in kJ/mol of atoms: arrangement A 22.2; arrangement B 0.0.



Arrangement A

Here is a geometry-optimized PrMg4In structure from the Alexandria database. Energies are from PBE.

The structure in POSCAR format:
```
PrMg4In
1.0
4.7086 0.0000 0.0000
0.0000 7.9909 0.0000
0.0000 0.0000 8.2462
Mg Pr In
8 2 2
Direct
0.5000 0.3148 0.9508
0.5000 0.6852 0.4508
0.0000 0.0000 0.5000
0.5000 0.3148 0.5492
0.5000 0.6852 0.0492
0.5000 0.9521 0.7500
0.5000 0.0479 0.2500
0.0000 0.0000 0.0000
0.0000 0.6383 0.7500
0.0000 0.3617 0.2500
0.0000 0.2410 0.7500
0.0000 0.7590 0.2500
```



Arrangement B

Here is a geometry-optimized PrMg4In structure from the Alexandria database. Energies are from PBE.

The structure in POSCAR format:
```
PrMg4In
1.0
6.0441 0.0000 0.0000
3.0220 5.2343 0.0000
3.0220 1.7448 4.9349
In Mg Pr
1 4 1
Direct
0.0000 0.0000 0.0000
0.1246 0.6251 0.6251
0.6252 0.6251 0.1246
0.6252 0.6251 0.6251
0.6252 0.1246 0.6251
0.2500 0.2500 0.2500
```



Quick look at relative energies in kJ/mol of atoms: arrangement A 0.0; arrangement B 8.5.



Arrangement A

Here is a geometry-optimized PrMgInSn structure from the Alexandria database. Energies are from PBE.

The structure in POSCAR format:
```
PrMgInSn
1.0
-3.5216 1.0360 2.7272
-1.2674 -4.5496 0.0918
2.7989 -0.7014 3.8806
Pr Mg Sn In
1 1 1 1
Direct
0.5000 0.5000 0.0000
0.5000 0.0000 0.5000
0.0000 0.0000 0.0000
0.0000 0.5000 0.5000
```



Arrangement B

Here is a geometry-optimized PrMgInSn structure from the Alexandria database. Energies are from PBE.

The structure in POSCAR format:
```
PrMgInSn
1.0
-2.2888 2.9701 -3.8130
0.3688 -1.4813 -5.1254
-4.3195 -1.8198 -2.5749
In Pr Sn Mg
1 1 1 1
Direct
0.7500 0.7500 0.7500
0.0000 0.0000 0.0000
0.2500 0.2500 0.2500
0.5000 0.5000 0.5000
```



Quick look at relative energies in kJ/mol of atoms: arrangement A 0.0; arrangement B 18.4.



Arrangement A

Here is a geometry-optimized PrMgTlIn structure from the Alexandria database. Energies are from PBE.

The structure in POSCAR format:
```
PrMgTlIn
1.0
-2.0383 -2.3594 -3.4365
4.0951 -2.3060 -0.8457
-1.2854 -3.4248 3.1138
Pr In Mg Tl
1 1 1 1
Direct
0.5000 0.0000 0.5000
0.0000 0.5000 0.5000
0.5000 0.5000 0.0000
0.0000 0.0000 0.0000
```



Arrangement B

Here is a geometry-optimized PrMgTlIn structure from the Alexandria database. Energies are from PBE.

The structure in POSCAR format:
```
PrMgTlIn
1.0
5.3435 0.0000 0.0000
2.6717 4.6276 0.0000
2.6717 1.5425 4.3629
Pr In Mg Tl
1 1 1 1
Direct
0.7500 0.7500 0.7500
0.5000 0.5000 0.5000
0.2500 0.2500 0.2500
0.0000 0.0000 0.0000
```



Quick look at relative energies in kJ/mol of atoms: arrangement A 0.0; arrangement B 7.9.



Arrangement A

Here is a geometry-optimized MgInPt3 structure from the Alexandria database. Energies are from PBE.

The structure in POSCAR format:
```
MgInPt3
1.0
4.6405 0.0000 0.0000
0.0000 4.6405 0.0000
0.0000 0.0000 4.6405
Pt In Mg
3 1 1
Direct
0.0000 0.0000 0.5000
0.0000 0.5000 0.0000
0.5000 0.0000 0.0000
0.5000 0.5000 0.5000
0.0000 0.0000 0.0000
```



Arrangement B

Here is a geometry-optimized MgInPt3 structure from the Alexandria database. Energies are from PBE.

The structure in POSCAR format:
```
MgInPt3
1.0
4.9407 0.0000 0.0000
0.0000 4.9407 0.0000
0.0000 0.0000 4.9407
Mg In Pt
1 1 3
Direct
0.5000 0.5000 0.5000
0.0000 0.0000 0.0000
0.5000 0.0000 0.0000
0.0000 0.5000 0.0000
0.0000 0.0000 0.5000
```



Quick look at relative energies in kJ/mol of atoms: arrangement A 0.0; arrangement B 15.6.



Arrangement A

Here is a geometry-optimized MgIn2Pt2 structure from the Alexandria database. Energies are from PBE.

The structure in POSCAR format:
```
MgIn2Pt2
1.0
7.7939 0.0000 0.0000
0.0000 7.7939 0.0000
0.0000 0.0000 3.1795
Pt In Mg
4 4 2
Direct
0.3350 0.1650 0.5000
0.6650 0.8350 0.5000
0.1650 0.6650 0.5000
0.8350 0.3350 0.5000
0.8648 0.6352 0.0000
0.1352 0.3648 0.0000
0.6352 0.1352 0.0000
0.3648 0.8648 0.0000
0.0000 0.0000 0.0000
0.5000 0.5000 0.0000
```



Arrangement B

Here is a geometry-optimized MgIn2Pt2 structure from the Alexandria database. Energies are from PBE.

The structure in POSCAR format:
```
MgIn2Pt2
1.0
4.5027 0.0000 0.0000
0.0000 4.4930 -0.0605
0.0000 0.1339 9.8784
In Mg Pt
4 2 4
Direct
0.2500 0.7499 0.0035
0.7500 0.2501 0.9965
0.7500 0.2501 0.3272
0.2500 0.7499 0.6728
0.7500 0.2498 0.6706
0.2500 0.7502 0.3294
0.2500 0.2500 0.5010
0.2500 0.2498 0.8342
0.7500 0.7500 0.4990
0.7500 0.7502 0.1658
```



Quick look at relative energies in kJ/mol of atoms: arrangement A 20.2; arrangement B 0.0.



Arrangement A

Here is a geometry-optimized MgIn2Pt2 structure from the Alexandria database. Energies are from PBE.

The structure in POSCAR format:
```
MgIn2Pt2
1.0
-6.6113 -2.9851 0.1494
2.2150 -5.1371 -4.6202
1.0169 -2.1104 2.8340
Pt Mg In
4 2 4
Direct
0.6430 0.1430 0.0000
0.1430 0.3570 0.0000
0.3570 0.8570 0.0000
0.8570 0.6430 0.0000
0.5000 0.5000 0.0000
0.0000 0.0000 0.0000
0.8424 0.3424 0.5000
0.3424 0.1576 0.5000
0.6576 0.8424 0.5000
0.1576 0.6576 0.5000
```



Arrangement B

Here is a geometry-optimized MgIn2Pt2 structure from the Alexandria database. Energies are from PBE.

The structure in POSCAR format:
```
MgIn2Pt2
1.0
4.1388 0.0000 0.0000
0.0000 4.1388 0.0000
2.0694 2.0694 6.2078
In Pt Mg
2 2 1
Direct
0.2500 0.7500 0.5000
0.7500 0.2500 0.5000
0.6036 0.6036 0.7928
0.3964 0.3964 0.2072
0.0000 0.0000 0.0000
```



Quick look at relative energies in kJ/mol of atoms: arrangement A 0.0; arrangement B 16.8.